[1]
5
Lattice="3.8119 0.0000 0.0000 0.0000 3.8119 0.0000 0.0000 0.0000 3.8119" Properties=species:S:1:pos:R:3 comment="ReSO3, optimized geometry, DFT PBE-GGA" formation_energy_uncorrected_ev_per_atom=0.8488 space_group="Pm-3m (221)" pbc="T T T"
Re 1.9059 1.9059 1.9059
O 0.0000 0.0000 1.9059
O 1.9059 0.0000 0.0000
O 0.0000 1.9059 0.0000
S 0.0000 0.0000 0.0000

=====

[2]
34
Lattice="-5.7976 -1.0365 -2.3992 0.4726 -8.2948 2.4415 -3.9956 2.3194 8.6535" Properties=species:S:1:pos:R:3 comment="Re2S2O13, optimized geometry, DFT PBE-GGA" e_above_lowest_polymorph_mev_per_atom=0 formation_energy_uncorrected_ev_per_atom=-1.3247 space_group="Pba2 (32)" pbc="T T T"
Re -6.7989 -6.9584 3.0648
Re -8.8692 -4.5274 7.0173
Re -7.9851 -1.0303 3.3701
Re -5.9148 -3.4614 -0.5824
O -5.2722 -5.6642 6.8402
O -4.6096 -0.2646 8.3300
O -2.6320 -1.0689 3.8987
O -3.9925 -1.3378 1.8787
O -7.9705 -5.2166 8.2972
O -1.8701 -3.8104 1.8643
O -5.8485 -3.5609 1.1233
O -6.5977 -2.0033 3.5913
O -7.6815 -4.2036 5.8305
O -0.9243 -6.0704 1.9328
O -1.5467 -1.1187 1.7081
O -6.0171 -5.5976 3.7412
O -7.2279 0.2247 2.1624
O -2.9019 -5.2661 6.3641
O -3.4686 -1.2927 6.4274
O -2.4053 -7.5100 4.7558
O -4.0762 1.0056 5.1148
O -4.6442 -2.3843 -0.9646
O -4.6114 -2.6940 8.0064
O -4.9937 -5.0824 -0.9436
O -5.9279 -1.2733 6.5278
O -3.3368 -5.7287 2.1911
O -5.5480 -7.7456 2.2050
O -1.7830 -4.9918 3.9522
O -7.9821 -0.0189 4.7488
O -3.7048 -5.1658 8.6715
S -4.7658 -1.3718 7.3403
S -2.8726 -0.6951 2.4731
S -3.9308 -5.8668 7.2644
S -2.0376 -5.1901 2.3971

=====

[3]
68
Lattice="7.3131 0.0000 0.0000 0.0000 7.9498 0.0000 0.0000 0.0000 17.2401" Properties=species:S:1:pos:R:3 comment="Re2S2O13, optimized geometry, DFT PBE-GGA" e_above_lowest_polymorph_mev_per_atom=11 formation_energy_uncorrected_ev_per_atom=-1.3139 space_group="Pbcm (57)" pbc="T T T"
O 0.6920 3.6181 2.0393
O 2.5968 1.8319 2.5692
O 0.7936 6.1184 16.6696
O 1.8283 2.2879 0.0000
O 3.6477 6.7321 5.5150
O 0.6920 3.6181 6.5807
O 6.0899 0.0919 9.6867
O 3.6654 1.2176 14.1350
O 0.9193 4.7727 12.9300
O 2.4334 7.8578 9.6867
O 4.7163 6.1178 11.1892
O 6.3938 3.1771 4.3100
O 0.0088 6.7321 11.7251
O 2.5968 1.8319 6.0509
O 2.9646 3.6181 10.6594
O 3.6654 1.2176 11.7251
O 4.7163 6.1178 14.6709
O 6.2534 6.1178 6.0509
O 6.5195 1.8314 0.5705
O 1.5587 6.9709 4.3100
O 6.5195 1.8314 8.0495
O 6.6212 4.3317 10.6594
O 5.2153 0.9788 4.3100
O 1.0597 1.8319 14.6709
O 1.0597 1.8319 11.1892
O 2.4334 7.8578 16.1733
O 0.7936 6.1184 9.1905
O 5.4848 5.6618 8.6200
O 3.6477 6.7321 3.1051
O 4.8797 0.0919 7.5533
O 6.2534 6.1178 2.5692
O 7.3043 1.2176 3.1051
O 2.8629 6.1184 0.5705
O 5.7544 0.9788 12.9300
O 2.0978 6.9709 12.9300
O 4.8797 0.0919 1.0667
O 2.8629 6.1184 8.0495
O 1.2232 7.8578 7.5533
O 7.3043 1.2176 5.5150
O 2.7373 4.7727 4.3100
O 6.0899 0.0919 16.1733
O 4.3485 4.3317 6.5807
O 6.6212 4.3317 15.2007
O 4.4502 1.8314 9.1905
O 1.8283 2.2879 8.6200
O 4.3485 4.3317 2.0393
O 4.5759 3.1771 12.9300
O 1.2232 7.8578 1.0667
O 4.4502 1.8314 16.6696
O 5.4848 5.6618 0.0000
O 0.0088 6.7321 14.1350
O 2.9646 3.6181 15.2007
Re 4.7770 5.9594 1.7285
Re 6.1926 5.9594 10.3486
Re 1.1205 1.9904 1.7285
Re 6.1926 5.9594 15.5115
Re 4.7770 5.9594 6.8915
Re 2.5361 1.9904 10.3486
Re 2.5361 1.9904 15.5115
Re 1.1205 1.9904 6.8915
S 0.8955 6.2080 12.9300
S 4.5521 1.7417 12.9300
S 6.4176 1.7417 4.3100
S 1.8283 7.0036 0.0000
S 5.4848 0.9462 0.0000
S 2.7610 6.2080 4.3100
S 1.8283 7.0036 8.6200
S 5.4848 0.9462 8.6200

=====

[4]
5
Lattice="-2.5360 3.9060 1.5760 -2.9266 -2.2873 0.9597 1.9168 -0.5678 4.4917" Properties=species:S:1:pos:R:3 comment="SrReS2O, optimized geometry, DFT PBE-GGA" formation_energy_uncorrected_ev_per_atom=-1.1573 space_group="P4/mmm (123)" pbc="T T T"
S -1.2680 1.9530 0.7880
S 0.9584 -0.2839 2.2459
Re 0.0000 0.0000 0.0000
O -1.4633 -1.1436 0.4799
Sr -1.7729 0.5255 3.5137

=====

[5]
5
Lattice="-4.1884 2.0271 0.5778 -1.8589 -3.9760 0.4743 0.7381 0.2067 4.6258" Properties=species:S:1:pos:R:3 comment="TiRe2SO, optimized geometry, DFT PBE-GGA" formation_energy_uncorrected_ev_per_atom=2.0491 space_group="P4/mmm (123)" pbc="T T T"
Ti 0.0000 0.0000 0.0000
O -2.6546 -0.8711 2.8390
Re -2.0942 1.0136 0.2889
Re 0.3691 0.1034 2.3129
S -0.9294 -1.9880 0.2372

=====

[6]
12
Lattice="-4.6122 -4.3447 0.8379 4.5911 -4.9879 -0.5918 1.0119 0.1675 6.4386" Properties=species:S:1:pos:R:3 comment="ReSbO4, optimized geometry, DFT PBE-GGA" formation_energy_uncorrected_ev_per_atom=-0.9855 space_group="P222 (16)" pbc="T T T"
Re 0.5059 0.0837 3.2193
Re 2.2955 -2.4939 -0.2959
Sb -1.8002 -2.0886 3.6382
Sb 0.0000 0.0000 0.0000
O 3.2212 -3.8528 5.2522
O -0.0085 -1.0112 4.6655
O -1.5079 -5.1927 6.0302
O 3.7278 -5.5835 1.5235
O 1.4090 -8.0861 4.6267
O -0.6949 -6.9807 1.2346
O -3.1469 -3.6494 2.5537
O 0.9630 -2.3040 0.8524

=====

[7]
10
Lattice="-3.8811 4.8697 -3.7992 -0.3238 -4.6413 -5.6183 -2.3217 -1.0617 1.0109" Properties=species:S:1:pos:R:3 comment="Re2SbO2, optimized geometry, DFT PBE-GGA" e_above_lowest_polymorph_mev_per_atom=419 formation_energy_uncorrected_ev_per_atom=0.3523 space_group="P4/mbm (127)" pbc="T T T"
Re -0.5917 -1.1713 -2.5893
Re -2.4487 2.4625 -3.0376
Re -1.7562 -2.2340 -6.3799
Re -3.6131 1.3998 -6.8282
Sb -2.1024 0.1142 -4.7088
Sb 0.0000 0.0000 0.0000
O -4.7164 1.9918 -5.0112
O -3.8376 -1.6347 -6.8016
O -2.6890 0.8014 -1.6051
O -1.8102 -2.8250 -3.3955

=====

[8]
16
Lattice="-7.1040 -0.6252 1.8929 1.3924 -2.3223 4.4586 0.2264 4.7974 2.4342" Properties=species:S:1:pos:R:3 comment="ReSbO6, optimized geometry, DFT PBE-GGA" e_above_lowest_polymorph_mev_per_atom=0 formation_energy_uncorrected_ev_per_atom=-1.3361 space_group="P2_1/m (11)" pbc="T T T"
O -2.6260 1.6845 6.5138
O 0.2440 2.6899 3.2054
O -4.5338 3.3106 5.6487
O -2.6158 2.4382 3.9674
O -2.8593 0.1654 2.2719
O -0.4337 0.2985 5.6610
O -0.9514 -1.4607 3.1370
O -5.7293 -0.8399 5.5803
O -5.0515 1.5515 3.1247
O -2.8695 -0.5883 4.8183
O -5.4704 1.4342 7.2717
O -0.0148 0.4157 1.5140
Sb -3.4388 2.0861 2.1635
Sb 0.1132 2.3987 1.2171
Re -2.8558 -1.4738 3.1757
Re 0.6962 -1.1611 2.2293

=====

[9]
5
Lattice="-0.9622 3.1681 -0.7839 -2.8641 -0.4279 1.7863 0.6870 3.3060 5.1338" Properties=species:S:1:pos:R:3 comment="Re2SbO2, optimized geometry, DFT PBE-GGA" e_above_lowest_polymorph_mev_per_atom=0 formation_energy_uncorrected_ev_per_atom=-0.0665 space_group="I4/mmm (139)" pbc="T T T"
Sb 0.0000 0.0000 0.0000
O -2.0451 2.1241 3.7107
O -1.0941 3.9221 2.4256
Re -1.9008 4.1738 4.4329
Re -1.2384 1.8725 1.7033

=====

[10]
12
Lattice="-5.7186 1.0527 0.8134 0.7220 -5.5242 -1.8530 -2.1153 -3.7193 4.0205" Properties=species:S:1:pos:R:3 comment="ReSbO4, optimized geometry, DFT PBE-GGA" formation_energy_uncorrected_ev_per_atom=-1.3032 space_group="I4_1md (109)" pbc="T T T"
Sb -2.5764 -2.1860 -0.3580
Sb -1.4842 -4.1208 2.7139
O -3.9385 -0.8618 0.4924
O -1.6395 -5.6418 0.6252
O -2.6081 -2.6237 1.6766
O -4.1398 -3.6042 -0.7118
O -5.2421 -2.6955 1.8789
O -4.5521 -5.4691 1.1149
O -0.9881 -0.7837 -0.0560
O -3.0261 -7.4899 2.4730
Re -0.0081 -5.0598 -0.3417
Re -3.2157 -6.8443 0.6069

=====

[11]
10
Lattice="7.2516 0.0000 0.0000 0.0000 7.2516 0.0000 0.0000 0.0000 3.3584" Properties=species:S:1:pos:R:3 comment="Re2Sb2O, optimized geometry, DFT PBE-GGA" e_above_lowest_polymorph_mev_per_atom=406 formation_energy_uncorrected_ev_per_atom=0.7800 space_group="P4/mbm (127)" pbc="T T T"
Sb 1.1355 4.7613 1.6792
Sb 6.1162 2.4904 1.6792
Sb 2.4904 1.1355 1.6792
Sb 4.7613 6.1162 1.6792
O 0.0000 0.0000 0.0000
O 3.6258 3.6258 0.0000
Re 6.2203 4.6571 0.0000
Re 4.6571 1.0313 0.0000
Re 1.0313 2.5945 0.0000
Re 2.5945 6.2203 0.0000

=====

[12]
5
Lattice="-3.4501 1.4188 4.0415 -0.5883 -5.2973 1.3574 0.4403 -1.6963 4.7137" Properties=species:S:1:pos:R:3 comment="Re2Sb2O, optimized geometry, DFT PBE-GGA" e_above_lowest_polymorph_mev_per_atom=0 formation_energy_uncorrected_ev_per_atom=0.3737 space_group="I4/mmm (139)" pbc="T T T"
Re -1.1072 -1.8492 3.4463
Re -2.4909 -3.7256 6.6663
O 0.0000 0.0000 0.0000
Sb -2.5145 -1.1084 5.7273
Sb -1.0836 -4.4664 4.3853